[1]
# KBi2Pd

A relaxed KBi2Pd crystal (PBE, Alexandria via LeMat-Bulk).

a = 5.409 Å, b = 5.409 Å, c = 19.099 Å
α = 90.00°, β = 90.00°, γ = 90.00°
Sites, in units of the cell vectors:
K1 0.000 0.000 0.000
K2 0.000 0.500 0.250
K3 0.500 0.000 0.750
K4 0.500 0.500 0.500
Bi1 0.141 0.250 0.625
Bi2 0.250 0.641 0.875
Bi3 0.250 0.859 0.375
Bi4 0.359 0.250 0.125
Bi5 0.641 0.750 0.125
Bi6 0.750 0.141 0.375
Bi7 0.750 0.359 0.875
Bi8 0.859 0.750 0.625
Pd1 0.000 0.000 0.500
Pd2 0.000 0.500 0.750
Pd3 0.500 0.000 0.250
Pd4 0.500 0.500 0.000

Energy above the most stable polymorph in this dataset in kcal/mol of atoms: 5.96
Mass density in g cm⁻³: 6.7
Calculated formation energy in eV/atom: -0.048
DFT total energy in eV/atom: -3.5607
Space group: No. 122

[2]
# K3Bi4Pd4

A relaxed K3Bi4Pd4 crystal (PBE, Alexandria via LeMat-Bulk).

a = 13.760 Å, b = 13.760 Å, c = 13.760 Å
α = 160.02°, β = 158.23°, γ = 29.72°
Sites, in units of the cell vectors:
K1 0.000 0.000 0.000
K2 0.140 0.640 0.500
K3 0.860 0.360 0.500
Bi1 0.247 0.247 0.000
Bi2 0.403 0.903 0.500
Bi3 0.597 0.097 0.500
Bi4 0.753 0.753 0.000
Pd1 0.301 0.801 0.500
Pd2 0.450 0.450 0.000
Pd3 0.550 0.550 0.000
Pd4 0.699 0.199 0.500

Energy above the most stable polymorph in this dataset in kcal/mol of atoms: 0.97
Mass density in g cm⁻³: 6.9
Calculated formation energy in eV/atom: -0.240
DFT total energy in eV/atom: -3.8391
Space group: No. 71

[3]
# K3BiPd

A relaxed K3BiPd crystal (PBE, Alexandria via LeMat-Bulk).

a = 6.056 Å, b = 6.056 Å, c = 6.056 Å
α = 90.00°, β = 90.00°, γ = 90.00°
Sites, in units of the cell vectors:
K1 0.000 0.000 0.500
K2 0.000 0.500 0.000
K3 0.500 0.000 0.000
Bi1 0.500 0.500 0.500
Pd1 0.000 0.000 0.000

Mass density in g cm⁻³: 3.2
Calculated formation energy in eV/atom: 0.159
DFT total energy in eV/atom: -2.3141
Space group: No. 221

[4]
# KBi2Pd

A relaxed KBi2Pd crystal (PBE, Alexandria via LeMat-Bulk).

a = 7.494 Å, b = 7.494 Å, c = 7.494 Å
α = 90.00°, β = 90.00°, γ = 90.00°
Sites, in units of the cell vectors:
K1 0.000 0.000 0.000
K2 0.000 0.500 0.500
K3 0.500 0.000 0.500
K4 0.500 0.500 0.000
Bi1 0.250 0.250 0.250
Bi2 0.250 0.250 0.750
Bi3 0.250 0.750 0.250
Bi4 0.250 0.750 0.750
Bi5 0.750 0.250 0.250
Bi6 0.750 0.250 0.750
Bi7 0.750 0.750 0.250
Bi8 0.750 0.750 0.750
Pd1 0.000 0.000 0.500
Pd2 0.000 0.500 0.000
Pd3 0.500 0.000 0.000
Pd4 0.500 0.500 0.500

Energy above the most stable polymorph in this dataset in kcal/mol of atoms: 6.36
Mass density in g cm⁻³: 8.9
Calculated formation energy in eV/atom: -0.030
DFT total energy in eV/atom: -3.5431
Space group: No. 225

[5]
# K2Bi2Pd3

A relaxed K2Bi2Pd3 crystal (PBE, Alexandria via LeMat-Bulk).

a = 12.921 Å, b = 4.369 Å, c = 8.267 Å
α = 90.00°, β = 120.23°, γ = 90.00°
Sites, in units of the cell vectors:
K1 0.108 0.000 0.243
K2 0.392 0.500 0.757
K3 0.608 0.500 0.243
K4 0.892 0.000 0.757
Bi1 0.155 0.000 0.705
Bi2 0.345 0.500 0.295
Bi3 0.655 0.500 0.705
Bi4 0.845 0.000 0.295
Pd1 0.000 0.500 0.500
Pd2 0.170 0.500 0.908
Pd3 0.330 0.000 0.092
Pd4 0.500 0.000 0.500
Pd5 0.670 0.000 0.908
Pd6 0.830 0.500 0.092

Mass density in g cm⁻³: 6.7
Calculated formation energy in eV/atom: -0.310
DFT total energy in eV/atom: -3.9582
Space group: No. 12

[6]
# K2Bi5Pd4

A relaxed K2Bi5Pd4 crystal (PBE, Alexandria via LeMat-Bulk).

a = 7.364 Å, b = 7.364 Å, c = 8.386 Å
α = 121.54°, β = 121.54°, γ = 70.43°
Sites, in units of the cell vectors:
K1 0.088 0.088 0.346
K2 0.912 0.912 0.654
Bi1 0.109 0.518 0.866
Bi2 0.482 0.891 0.134
Bi3 0.500 0.500 0.500
Bi4 0.518 0.109 0.866
Bi5 0.891 0.482 0.134
Pd1 0.251 0.251 0.067
Pd2 0.464 0.464 0.795
Pd3 0.536 0.536 0.205
Pd4 0.749 0.749 0.933

Mass density in g cm⁻³: 7.8
Calculated formation energy in eV/atom: -0.209
DFT total energy in eV/atom: -4.0607
Space group: No. 12

[7]
# K2BiPd

A relaxed K2BiPd crystal (PBE, Alexandria via LeMat-Bulk).

a = 12.414 Å, b = 12.414 Å, c = 5.173 Å
α = 90.00°, β = 90.00°, γ = 90.00°
Sites, in units of the cell vectors:
K1 0.059 0.750 0.125
K2 0.250 0.059 0.875
K3 0.250 0.441 0.375
K4 0.441 0.750 0.625
K5 0.559 0.250 0.625
K6 0.750 0.559 0.375
K7 0.750 0.941 0.875
K8 0.941 0.250 0.125
Bi1 0.000 0.000 0.500
Bi2 0.000 0.500 0.750
Bi3 0.500 0.000 0.250
Bi4 0.500 0.500 0.000
Pd1 0.000 0.000 0.000
Pd2 0.000 0.500 0.250
Pd3 0.500 0.000 0.750
Pd4 0.500 0.500 0.500

Energy above the most stable polymorph in this dataset in kcal/mol of atoms: 2.03
Mass density in g cm⁻³: 3.3
Calculated formation energy in eV/atom: -0.186
DFT total energy in eV/atom: -3.0035
Space group: No. 122

[8]
# KBi2Pd

A relaxed KBi2Pd crystal (PBE, Alexandria via LeMat-Bulk).

a = 10.813 Å, b = 10.813 Å, c = 10.813 Å
α = 152.41°, β = 124.34°, γ = 63.23°
Sites, in units of the cell vectors:
K1 0.203 0.203 0.000
K2 0.239 0.000 0.239
K3 0.761 0.000 0.761
K4 0.797 0.797 0.000
Bi1 0.082 0.582 0.500
Bi2 0.143 0.804 0.340
Bi3 0.414 0.414 0.000
Bi4 0.464 0.804 0.660
Bi5 0.536 0.196 0.340
Bi6 0.586 0.586 0.000
Bi7 0.857 0.196 0.660
Bi8 0.918 0.418 0.500
Pd1 0.097 0.348 0.749
Pd2 0.401 0.652 0.749
Pd3 0.599 0.348 0.251
Pd4 0.903 0.652 0.251

Energy above the most stable polymorph in this dataset in kcal/mol of atoms: 0.37
Mass density in g cm⁻³: 7.8
Calculated formation energy in eV/atom: -0.290
DFT total energy in eV/atom: -3.8029
Space group: No. 71

[9]
# KBi2Pd2

A relaxed KBi2Pd2 crystal (PBE, Alexandria via LeMat-Bulk).

a = 6.765 Å, b = 6.765 Å, c = 8.040 Å
α = 100.57°, β = 100.57°, γ = 124.16°
Sites, in units of the cell vectors:
K1 0.126 0.874 0.750
K2 0.874 0.126 0.250
Bi1 0.179 0.821 0.250
Bi2 0.430 0.570 0.750
Bi3 0.570 0.430 0.250
Bi4 0.821 0.179 0.750
Pd1 0.276 0.528 0.055
Pd2 0.472 0.724 0.445
Pd3 0.528 0.276 0.555
Pd4 0.724 0.472 0.945

Mass density in g cm⁻³: 7.9
Calculated formation energy in eV/atom: -0.302
DFT total energy in eV/atom: -4.1512
Space group: No. 15

[10]
# K2BiPd

A relaxed K2BiPd crystal (PBE, Alexandria via LeMat-Bulk).

a = 8.049 Å, b = 8.049 Å, c = 8.049 Å
α = 90.00°, β = 90.00°, γ = 90.00°
Sites, in units of the cell vectors:
K1 0.250 0.250 0.250
K2 0.250 0.250 0.750
K3 0.250 0.750 0.250
K4 0.250 0.750 0.750
K5 0.750 0.250 0.250
K6 0.750 0.250 0.750
K7 0.750 0.750 0.250
K8 0.750 0.750 0.750
Bi1 0.000 0.000 0.000
Bi2 0.000 0.500 0.500
Bi3 0.500 0.000 0.500
Bi4 0.500 0.500 0.000
Pd1 0.000 0.000 0.500
Pd2 0.000 0.500 0.000
Pd3 0.500 0.000 0.000
Pd4 0.500 0.500 0.500

Energy above the most stable polymorph in this dataset in kcal/mol of atoms: 10.11
Mass density in g cm⁻³: 5.0
Calculated formation energy in eV/atom: 0.164
DFT total energy in eV/atom: -2.6531
Space group: No. 225

[11]
# K3Bi2Pd

A relaxed K3Bi2Pd crystal (PBE, Alexandria via LeMat-Bulk).

a = 9.196 Å, b = 9.196 Å, c = 9.196 Å
α = 113.17°, β = 84.27°, γ = 134.94°
Sites, in units of the cell vectors:
K1 0.197 0.631 0.828
K2 0.250 0.250 0.000
K3 0.303 0.131 0.433
K4 0.697 0.869 0.567
K5 0.750 0.750 0.000
K6 0.803 0.369 0.172
Bi1 0.055 0.300 0.355
Bi2 0.445 0.800 0.245
Bi3 0.555 0.200 0.755
Bi4 0.945 0.700 0.645
Pd1 0.250 0.750 0.500
Pd2 0.750 0.250 0.500

Mass density in g cm⁻³: 4.4
Calculated formation energy in eV/atom: -0.308
DFT total energy in eV/atom: -3.0155
Space group: No. 72

[12]
# K3Bi2Pd2

A relaxed K3Bi2Pd2 crystal (PBE, Alexandria via LeMat-Bulk).

a = 6.701 Å, b = 9.102 Å, c = 15.542 Å
α = 90.00°, β = 90.00°, γ = 90.00°
Sites, in units of the cell vectors:
K1 0.105 0.142 0.106
K2 0.105 0.142 0.394
K3 0.105 0.358 0.606
K4 0.105 0.358 0.894
K5 0.318 0.711 0.750
K6 0.318 0.789 0.250
K7 0.682 0.211 0.750
K8 0.682 0.289 0.250
K9 0.895 0.642 0.106
K10 0.895 0.642 0.394
K11 0.895 0.858 0.606
K12 0.895 0.858 0.894
Bi1 0.408 0.010 0.599
Bi2 0.408 0.010 0.901
Bi3 0.408 0.490 0.099
Bi4 0.408 0.490 0.401
Bi5 0.592 0.510 0.599
Bi6 0.592 0.510 0.901
Bi7 0.592 0.990 0.099
Bi8 0.592 0.990 0.401
Pd1 0.214 0.059 0.750
Pd2 0.214 0.441 0.250
Pd3 0.449 0.750 0.000
Pd4 0.449 0.750 0.500
Pd5 0.551 0.250 0.000
Pd6 0.551 0.250 0.500
Pd7 0.786 0.559 0.750
Pd8 0.786 0.941 0.250

Mass density in g cm⁻³: 5.2
Calculated formation energy in eV/atom: -0.243
DFT total energy in eV/atom: -3.3058
Space group: No. 57

Q: The lowest mass density belongs to which entry?
A: K3BiPd

Q: Which value of calculated formation energy does entry 7 give?
A: -0.186 eV/atom

Please write out number 3 again, unchanged.
# K3BiPd

A relaxed K3BiPd crystal (PBE, Alexandria via LeMat-Bulk).

a = 6.056 Å, b = 6.056 Å, c = 6.056 Å
α = 90.00°, β = 90.00°, γ = 90.00°
Sites, in units of the cell vectors:
K1 0.000 0.000 0.500
K2 0.000 0.500 0.000
K3 0.500 0.000 0.000
Bi1 0.500 0.500 0.500
Pd1 0.000 0.000 0.000

Mass density in g cm⁻³: 3.2
Calculated formation energy in eV/atom: 0.159
DFT total energy in eV/atom: -2.3141
Space group: No. 221